Record 1
Here is a geometry-optimized YZr2Zn2 structure from Alexandria. Energies are from GGA-PBEsol.

Summary:
For the calculated formation energy, the calculation gives -11.68 kJ per mole of atoms. For the size of the total moment, the calculation gives 0.00 μB/f.u. The raw total energy comes out at -5.75 eV per atom.

a b c (Å): 4.1695 4.1695 12.1868
angles (deg): 90.00 90.00 90.00
Closest atoms and distances in Å follow each position.
Space group I4/mmm (No. 139)
Symmetry-distinct sites (fractional):
Y  0.0000  0.0000  0.0000 [2 per cell]  8 Zn 3.18
Zr  0.0000  0.5000  0.2500 [4 per cell]  4 Zn 2.80, 4 Zr 2.95
Zn  0.0000  0.0000  0.4031 [4 per cell]  1 Zn 2.36

=====

Record 2
Here is a geometry-optimized Y2ZrZn structure from Alexandria. Energies are from GGA-PBEsol.

Summary:
For the calculated formation energy, the calculation gives -9.56 kJ per mole of atoms. For the size of the total moment, the calculation gives 0.00 μB/f.u. The raw total energy comes out at -6.18 eV per atom.

a b c (Å): 3.3970 3.3970 8.3045
angles (deg): 90.00 90.00 90.00
Closest atoms and distances in Å follow each position.
Space group P4mm (No. 99)
Symmetry-distinct sites (fractional):
Y  0.0000  0.0000  0.0000 [1 per cell]  4 Zr 3.26, 8 Y 3.40-3.60
Y  0.5000  0.5000  0.3224 [1 per cell]  4 Zn 3.05, 4 Y 3.40
Zr  0.5000  0.5000  0.7351 [1 per cell]  4 Zn 2.86
Zn  0.0000  0.0000  0.5485 [1 per cell]  4 Zr 2.86, 4 Y 3.05

=====

Record 3
Here is a geometry-optimized Y2ZrZn structure from Alexandria. Energies are from GGA-PBEsol.

Summary:
For the calculated formation energy, the calculation gives -11.75 kJ per mole of atoms. For the size of the total moment, the calculation gives 0.00 μB/f.u. The raw total energy comes out at -6.20 eV per atom.

a b c (Å): 3.3818 3.3818 8.3098
angles (deg): 90.00 90.00 90.00
Closest atoms and distances in Å follow each position.
Space group P4/mmm (No. 123)
Symmetry-distinct sites (fractional):
Y  0.0000  0.0000  0.2257 [2 per cell]  4 Zn 3.04, 4 Zr 3.30, 4 Y 3.38
Zr  0.5000  0.5000  0.5000 [1 per cell]  8 Y 3.30, 4 Zr 3.38
Zn  0.5000  0.5000  0.0000 [1 per cell]  8 Y 3.04, 4 Zn 3.38

=====

Record 4
Here is a geometry-optimized Y2ZrZn structure from Alexandria. Energies are from GGA-PBEsol.

Summary:
For the calculated formation energy, the calculation gives 0.19 kJ per mole of atoms. For the size of the total moment, the calculation gives 0.00 μB/f.u. The raw total energy comes out at -6.08 eV per atom.

a b c (Å): 3.5651 4.9584 10.7091
angles (deg): 90.00 90.00 90.00
Closest atoms and distances in Å follow each position.
Space group Immm (No. 71)
Symmetry-distinct sites (fractional):
Y  0.0000  0.0000  0.2149 [4 per cell]  2 Zn 2.91, 4 Y 3.14
Zr  0.0000  0.5000  0.0000 [2 per cell]  4 Zn 3.05, 4 Y 3.38
Zn  0.0000  0.5000  0.5000 [2 per cell]  4 Y 2.91, 4 Zr 3.05

=====

Record 5
Here is a geometry-optimized YZr structure from Alexandria. Energies are from GGA-PBEsol.

Summary:
For the calculated formation energy, the calculation gives 227.38 kJ per mole of atoms. For the size of the total moment, the calculation gives 0.00 μB/f.u. The calculation puts the offset from the most stable computed form at 2300 meV/atom. The raw total energy comes out at -5.60 eV per atom.

a b c (Å): 6.3636 6.3636 6.3636
angles (deg): 90.00 90.00 90.00
Closest atoms and distances in Å follow each position.
Space group F-43m (No. 216)
Symmetry-distinct sites (fractional):
Y  0.0000  0.0000  0.0000 [4 per cell]  4 Zr 2.76
Zr  0.2500  0.2500  0.2500 [4 per cell]  4 Y 2.76

=====

Record 6
Here is a geometry-optimized Y8Zr structure from Alexandria. Energies are from GGA-PBEsol.

Summary:
For the calculated formation energy, the calculation gives 4.92 kJ per mole of atoms. For the size of the total moment, the calculation gives 0.00 μB/f.u. The raw total energy comes out at -7.02 eV per atom.

a b c (Å): 10.3889 10.3889 4.8809
angles (deg): 90.00 90.00 90.00
Closest atoms and distances in Å follow each position.
Space group I4/mmm (No. 139)
Symmetry-distinct sites (fractional):
Y  0.0000  0.3270  0.0000 [8 per cell]  1 Zr 3.40, 11 Y 3.42-3.60
Y  0.1606  0.1606  0.5000 [8 per cell]  10 Y 3.34-3.59, 2 Zr 3.39
Zr  0.0000  0.0000  0.0000 [2 per cell]  12 Y 3.39-3.40

=====

Record 7
Here is a geometry-optimized YZr7 structure from Alexandria. Energies are from GGA-PBEsol.

Summary:
For the calculated formation energy, the calculation gives 8.47 kJ per mole of atoms. For the size of the total moment, the calculation gives 0.00 μB/f.u. The raw total energy comes out at -8.72 eV per atom.

a b c (Å): 9.0067 9.0067 9.0067
angles (deg): 90.00 90.00 90.00
Closest atoms and distances in Å follow each position.
Space group Fm-3m (No. 225)
Symmetry-distinct sites (fractional):
Y  0.0000  0.0000  0.0000 [4 per cell]  12 Zr 3.18
Zr  0.0000  0.0000  0.5000 [4 per cell]  12 Zr 3.18
Zr  0.0000  0.2500  0.2500 [24 per cell]  10 Zr 3.18, 2 Y 3.18

=====

Record 8
Here is a geometry-optimized YZr structure from Alexandria. Energies are from GGA-PBEsol.

Summary:
For the calculated formation energy, the calculation gives 8.20 kJ per mole of atoms. For the size of the total moment, the calculation gives 0.00 μB/f.u. The calculation puts the offset from the most stable computed form at 29 meV/atom. The raw total energy comes out at -7.87 eV per atom.

a b c (Å): 3.3458 3.3458 10.7295
angles (deg): 90.00 90.00 120.00
Closest atoms and distances in Å follow each position.
Space group P-3m1 (No. 164)
Symmetry-distinct sites (fractional):
Y  0.3333  0.6667  0.3603 [2 per cell]  3 Zr 3.27, 9 Y 3.35-3.57
Zr  0.3333  0.6667  0.8859 [2 per cell]  9 Zr 3.12-3.35, 3 Y 3.27

=====

Record 9
Here is a geometry-optimized YZr2 structure from Alexandria. Energies are from GGA-PBEsol.

Summary:
For the calculated formation energy, the calculation gives 7.22 kJ per mole of atoms. For the size of the total moment, the calculation gives 0.00 μB/f.u. The raw total energy comes out at -8.26 eV per atom.

a b c (Å): 12.0970 3.2740 7.6785
angles (deg): 90.00 103.38 90.00
Closest atoms and distances in Å follow each position.
Space group C2/m (No. 12)
Symmetry-distinct sites (fractional):
Y  0.0246  0.0000  0.3027 [4 per cell]  9 Zr 3.18-3.46, 3 Y 3.22-3.27
Zr  0.1447  0.5000  0.0259 [4 per cell]  8 Zr 3.13-3.43, 4 Y 3.28-3.29
Zr  0.2074  0.5000  0.6506 [4 per cell]  7 Zr 3.15-3.27, 5 Y 3.18-3.46

=====

Record 10
Here is a geometry-optimized YZr structure from Alexandria. Energies are from GGA-PBEsol.

Summary:
For the calculated formation energy, the calculation gives 9.04 kJ per mole of atoms. For the size of the total moment, the calculation gives 0.00 μB/f.u. The calculation puts the offset from the most stable computed form at 37 meV/atom. The raw total energy comes out at -7.86 eV per atom.

a b c (Å): 3.2979 3.2979 9.4939
angles (deg): 90.00 90.00 90.00
Closest atoms and distances in Å follow each position.
Space group P4/nmm (No. 129, origin choice 2)
Symmetry-distinct sites (fractional):
Y  0.2500  0.2500  0.1442 [2 per cell]  4 Zr 3.30, 8 Y 3.30-3.60
Zr  0.2500  0.2500  0.6104 [2 per cell]  8 Zr 3.14-3.30, 4 Y 3.30

=====

Record 11
Here is a geometry-optimized YZr structure from Alexandria. Energies are from GGA-PBEsol.

Summary:
For the calculated formation energy, the calculation gives 10.34 kJ per mole of atoms. For the size of the total moment, the calculation gives 0.00 μB/f.u. The calculation puts the offset from the most stable computed form at 51 meV/atom. The raw total energy comes out at -7.85 eV per atom.

a b c (Å): 3.3052 3.3052 32.6365
angles (deg): 90.00 90.00 120.00
Closest atoms and distances in Å follow each position.
Space group R-3m (No. 166, hexagonal axes)
Symmetry-distinct sites (fractional):
Y  0.0000  0.0000  0.1196 [6 per cell]  3 Zr 3.28, 9 Y 3.31-3.62
Zr  0.0000  0.0000  0.3712 [6 per cell]  9 Zr 3.12-3.31, 3 Y 3.28

=====

Record 12
Here is a geometry-optimized YZr structure from Alexandria. Energies are from GGA-PBEsol.

Summary:
For the calculated formation energy, the calculation gives 9.68 kJ per mole of atoms. For the size of the total moment, the calculation gives 0.00 μB/f.u. The calculation puts the offset from the most stable computed form at 44 meV/atom. The raw total energy comes out at -7.86 eV per atom.

a b c (Å): 12.3151 3.3361 7.7936
angles (deg): 90.00 103.47 90.00
Closest atoms and distances in Å follow each position.
Space group Cm (No. 8)
Symmetry-distinct sites (fractional):
Y  0.0000  0.0000  0.0000 [2 per cell]  7 Zr 3.17-3.46, 5 Y 3.21-3.41
Y  0.0539  0.0000  0.6168 [2 per cell]  5 Y 3.21-3.37, 7 Zr 3.32-3.45
Y  0.1750  0.5000  0.3352 [2 per cell]  6 Zr 3.20-3.49, 6 Y 3.34-3.41
Zr  0.2369  0.5000  0.9497 [2 per cell]  6 Y 3.17-3.46, 6 Zr 3.18-3.34
Zr  0.3295  0.0000  0.6675 [2 per cell]  5 Zr 3.18-3.34, 7 Y 3.29-3.37
Zr  0.3857  0.0000  0.2798 [2 per cell]  7 Y 3.20-3.49, 5 Zr 3.25-3.34

=====

Record 13
Here is a geometry-optimized YZr structure from Alexandria. Energies are from GGA-PBEsol.

Summary:
For the calculated formation energy, the calculation gives 8.97 kJ per mole of atoms. For the size of the total moment, the calculation gives 0.00 μB/f.u. The calculation puts the offset from the most stable computed form at 37 meV/atom. The raw total energy comes out at -7.86 eV per atom.

a b c (Å): 5.2710 3.3295 5.9213
angles (deg): 90.00 90.00 90.00
Closest atoms and distances in Å follow each position.
Space group Pmma (No. 51)
Symmetry-distinct sites (fractional):
Y  0.2500  0.0000  0.1642 [2 per cell]  8 Zr 3.25-3.54, 4 Y 3.28-3.33
Zr  0.2500  0.5000  0.6365 [2 per cell]  4 Zr 3.09-3.33, 6 Y 3.25-3.33